[1]
# Pm2RhSe, relaxed, DFT PBE
data_Pm2RhSe
_chemical_formula_sum 'Pm8 Rh4 Se4'
_cell_length_a 4.019
_cell_length_b 23.054
_cell_length_c 4.283
_cell_angle_alpha 90.00
_cell_angle_beta 90.00
_cell_angle_gamma 90.00
_space_group_name_H-M_alt 'C m c m'
_space_group_IT_number 63
_space_group_name_Hall '-C 2c 2'
loop_
_atom_site_label
_atom_site_fract_x
_atom_site_fract_y
_atom_site_fract_z
Pm1 0.000 0.062 0.250
Pm2 0.000 0.326 0.250
Rh1 0.000 0.455 0.250
Se1 0.000 0.192 0.250
# **Final energy**: -101.4 eV/cell
# **Energy above the most stable polymorph in this dataset**: 0 meV per atom
# **Total magnetization**: 0.0 μB per cell
# **V**: 99.2 Å³/f.u.
# **Density of states at the Fermi level**: 2.7 states/eV/f.u.
# **Formation energy from raw total energies**: -5.0 eV/f.u.

[2]
# Pm2RhSe, relaxed, DFT PBE
data_Pm2RhSe
_chemical_formula_sum 'Pm2 Rh1 Se1'
_cell_length_a 3.571
_cell_length_b 3.571
_cell_length_c 7.306
_cell_angle_alpha 90.00
_cell_angle_beta 90.00
_cell_angle_gamma 90.00
_space_group_name_H-M_alt 'P 4/m m m'
_space_group_IT_number 123
_space_group_name_Hall '-P 4 2'
loop_
_atom_site_label
_atom_site_fract_x
_atom_site_fract_y
_atom_site_fract_z
Pm1 0.000 0.000 0.236
Rh1 0.500 0.500 0.000
Se1 0.500 0.500 0.500
# **Final energy**: -24.8 eV/cell
# **Energy above the most stable polymorph in this dataset**: 149 meV per atom
# **Total magnetization**: 0.0 μB per cell
# **V**: 93.2 Å³/f.u.
# **Density of states at the Fermi level**: 1.7 states/eV/f.u.
# **Formation energy from raw total energies**: -4.4 eV/f.u.

[3]
# Pm4RhSe3, relaxed, DFT PBE
data_Pm4RhSe3
_chemical_formula_sum 'Pm8 Rh2 Se6'
_cell_length_a 8.530
_cell_length_b 11.947
_cell_length_c 4.128
_cell_angle_alpha 90.00
_cell_angle_beta 90.00
_cell_angle_gamma 90.00
_space_group_name_H-M_alt 'C m m m'
_space_group_IT_number 65
_space_group_name_Hall '-C 2 2'
loop_
_atom_site_label
_atom_site_fract_x
_atom_site_fract_y
_atom_site_fract_z
Pm1 0.000 0.244 0.000
Pm2 0.231 0.000 0.500
Rh1 0.000 0.000 0.000
Se1 0.000 0.500 0.000
Se2 0.250 0.250 0.500
# **Final energy**: -98.1 eV/cell
# **Total magnetization**: 0.0 μB per cell
# **V**: 210.3 Å³/f.u.
# **Density of states at the Fermi level**: 6.3 states/eV/f.u.
# **Formation energy from raw total energies**: -12.3 eV/f.u.

[4]
# PmRhSe2, relaxed, DFT PBE
data_PmRhSe2
_chemical_formula_sum 'Pm3 Rh3 Se6'
_cell_length_a 3.7899
_cell_length_b 3.7899
_cell_length_c 24.9619
_cell_angle_alpha 90.00
_cell_angle_beta 90.00
_cell_angle_gamma 120.00
_space_group_name_H-M_alt 'R -3 m'
_space_group_IT_number 166
_space_group_name_Hall '-R 3 2"'
loop_
_atom_site_label
_atom_site_fract_x
_atom_site_fract_y
_atom_site_fract_z
Pm1 0.0000 0.0000 0.0000
Rh1 0.0000 0.0000 0.5000
Se1 0.0000 0.0000 0.1162
# **Final energy**: -63.0 eV/cell
# **Total magnetization**: 0.0 μB per cell
# **V**: 103.5 Å³/f.u.
# **Density of states at the Fermi level**: 1.5 states/eV/f.u.
# **Formation energy from raw total energies**: -1.9 eV/f.u.

[5]
# Pm4Rh2Se, relaxed, DFT PBE
data_Pm4Rh2Se
_chemical_formula_sum 'Pm16 Rh8 Se4'
_cell_length_a 9.012
_cell_length_b 9.012
_cell_length_c 8.892
_cell_angle_alpha 90.00
_cell_angle_beta 90.00
_cell_angle_gamma 90.00
_space_group_name_H-M_alt 'I -4 2 d'
_space_group_IT_number 122
_space_group_name_Hall 'I -4 2bw'
loop_
_atom_site_label
_atom_site_fract_x
_atom_site_fract_y
_atom_site_fract_z
Pm1 0.062 0.687 0.422
Rh1 0.110 0.750 0.125
Se1 0.000 0.000 0.500
# **Final energy**: -173.7 eV/cell
# **Total magnetization**: 0.0 μB per cell
# **V**: 180.6 Å³/f.u.
# **Density of states at the Fermi level**: 6.0 states/eV/f.u.
# **Formation energy from raw total energies**: -6.2 eV/f.u.

[6]
# Pm2RhSe, relaxed, DFT PBE
data_Pm2RhSe
_chemical_formula_sum 'Pm4 Rh2 Se2'
_cell_length_a 7.049
_cell_length_b 4.061
_cell_length_c 7.610
_cell_angle_alpha 90.00
_cell_angle_beta 107.83
_cell_angle_gamma 90.00
_space_group_name_H-M_alt 'C 1 2/m 1'
_space_group_IT_number 12
loop_
_space_group_symop_operation_xyz
'x,y,z'
'-x,-y,-z'
'-x,y,-z'
'x,-y,z'
'x+1/2,y+1/2,z'
'-x+1/2,-y+1/2,-z'
'-x+1/2,y+1/2,-z'
'x+1/2,-y+1/2,z'
loop_
_atom_site_label
_atom_site_fract_x
_atom_site_fract_y
_atom_site_fract_z
Pm1 0.243 0.000 0.229
Rh1 0.000 0.500 0.000
Se1 0.000 0.000 0.500
# **Final energy**: -50.4 eV/cell
# **Energy above the most stable polymorph in this dataset**: 44 meV per atom
# **Total magnetization**: 0.0 μB per cell
# **V**: 103.7 Å³/f.u.
# **Density of states at the Fermi level**: 2.2 states/eV/f.u.
# **Formation energy from raw total energies**: -4.8 eV/f.u.

[7]
# Pm2RhSe, relaxed, DFT PBE
data_Pm2RhSe
_chemical_formula_sum 'Pm6 Rh3 Se3'
_cell_length_a 4.0552
_cell_length_b 4.0552
_cell_length_c 22.0862
_cell_angle_alpha 90.00
_cell_angle_beta 90.00
_cell_angle_gamma 120.00
_space_group_name_H-M_alt 'R 3 m'
_space_group_IT_number 160
_space_group_name_Hall 'R 3 -2"'
loop_
_atom_site_label
_atom_site_fract_x
_atom_site_fract_y
_atom_site_fract_z
Pm1 0.0000 0.0000 0.0000
Pm2 0.0000 0.0000 0.1838
Rh1 0.0000 0.0000 0.5914
Se1 0.0000 0.0000 0.4250
# **Final energy**: -75.0 eV/cell
# **Energy above the most stable polymorph in this dataset**: 84 meV per atom
# **Total magnetization**: 0.0 μB per cell
# **V**: 104.8 Å³/f.u.
# **Density of states at the Fermi level**: 2.3 states/eV/f.u.
# **Formation energy from raw total energies**: -4.7 eV/f.u.

[8]
# Pm6RhSe5, relaxed, DFT PBE
data_Pm6RhSe5
_chemical_formula_sum 'Pm12 Rh2 Se10'
_cell_length_a 7.305
_cell_length_b 12.607
_cell_length_c 7.259
_cell_angle_alpha 90.00
_cell_angle_beta 109.58
_cell_angle_gamma 90.00
_space_group_name_H-M_alt 'C 1 2/m 1'
_space_group_IT_number 12
loop_
_space_group_symop_operation_xyz
'x,y,z'
'-x,-y,-z'
'-x,y,-z'
'x,-y,z'
'x+1/2,y+1/2,z'
'-x+1/2,-y+1/2,-z'
'-x+1/2,y+1/2,-z'
'x+1/2,-y+1/2,z'
loop_
_atom_site_label
_atom_site_fract_x
_atom_site_fract_y
_atom_site_fract_z
Pm1 0.240 0.000 0.255
Pm2 0.240 0.161 0.740
Rh1 0.000 0.000 0.500
Se1 0.000 0.173 0.000
Se2 0.000 0.334 0.500
Se3 0.000 0.500 0.000
# **Final energy**: -146.3 eV/cell
# **Total magnetization**: 0.0 μB per cell
# **V**: 314.9 Å³/f.u.
# **Density of states at the Fermi level**: 7.7 states/eV/f.u.
# **Formation energy from raw total energies**: -19.9 eV/f.u.